! NaSc GGA-PBE optimized geometry; values from VASP
! formation energy = 0.397 eV/atom
! Fermi-level density of states = 2.49 states/eV/f.u.
! symmetry = P6_3/m
&SYSTEM
  ibrav = 0, nat = 12, ntyp = 2
/
ATOMIC_SPECIES
Sc 44.96 Sc.upf
Na 22.99 Na.upf
ATOMIC_POSITIONS crystal
Sc 0.599 0.454 0.250
Sc 0.401 0.546 0.750
Sc 0.146 0.599 0.750
Sc 0.546 0.146 0.250
Sc 0.854 0.401 0.250
Sc 0.454 0.854 0.750
Na 0.225 0.938 0.750
Na 0.775 0.062 0.250
Na 0.062 0.287 0.750
Na 0.287 0.225 0.250
Na 0.713 0.775 0.750
Na 0.938 0.713 0.250
CELL_PARAMETERS angstrom
-6.429 4.278 -8.362
3.961 -10.644 -0.745
-2.568 -1.056 1.434

***

! NaSc GGA-PBE optimized geometry; values from VASP
! formation energy = 1.666 eV/atom
! Fermi-level density of states = 4.53 states/eV/f.u.
! symmetry = Pm-3n
&SYSTEM
  ibrav = 0, nat = 12, ntyp = 2
/
ATOMIC_SPECIES
Na 22.99 Na.upf
Sc 44.96 Sc.upf
ATOMIC_POSITIONS crystal
Na 0.000 0.500 0.250
Na 0.500 0.750 0.000
Na 0.000 0.500 0.750
Na 0.250 0.000 0.500
Na 0.500 0.250 0.000
Na 0.750 0.000 0.500
Sc 0.250 0.500 0.000
Sc 0.000 0.750 0.500
Sc 0.000 0.250 0.500
Sc 0.750 0.500 0.000
Sc 0.500 0.000 0.750
Sc 0.500 0.000 0.250
CELL_PARAMETERS angstrom
-1.435 -5.309 -6.990
6.364 -5.507 2.876
-6.045 -4.538 4.688

***

! NaSc GGA-PBE optimized geometry; values from VASP
! formation energy = 0.306 eV/atom
! Fermi-level density of states = 2.62 states/eV/f.u.
! symmetry = P4/m
&SYSTEM
  ibrav = 0, nat = 16, ntyp = 2
/
ATOMIC_SPECIES
Na 22.99 Na.upf
Sc 44.96 Sc.upf
ATOMIC_POSITIONS crystal
Na 0.941 0.639 0.500
Na 0.361 0.941 0.500
Na 0.167 0.137 0.000
Na 0.863 0.167 0.000
Na 0.833 0.863 0.000
Na 0.639 0.059 0.500
Na 0.059 0.361 0.500
Na 0.137 0.833 0.000
Sc 0.656 0.599 0.500
Sc 0.807 0.431 0.000
Sc 0.431 0.193 0.000
Sc 0.401 0.656 0.500
Sc 0.569 0.807 0.000
Sc 0.344 0.401 0.500
Sc 0.193 0.569 0.000
Sc 0.599 0.344 0.500
CELL_PARAMETERS angstrom
12.222 0.000 0.000
0.000 12.222 0.000
0.000 0.000 3.203

***

! NaSc GGA-PBE optimized geometry; values from VASP
! formation energy = 0.903 eV/atom
! Fermi-level density of states = 3.19 states/eV/f.u.
! symmetry = Fm-3m
&SYSTEM
  ibrav = 0, nat = 8, ntyp = 2
/
ATOMIC_SPECIES
Na 22.99 Na.upf
Sc 44.96 Sc.upf
ATOMIC_POSITIONS crystal
Na 0.500 0.500 0.000
Na 0.000 0.500 0.500
Na 0.500 0.000 0.500
Na 0.000 0.000 0.000
Sc 0.500 0.000 0.000
Sc 0.500 0.500 0.500
Sc 0.000 0.000 0.500
Sc 0.000 0.500 0.000
CELL_PARAMETERS angstrom
6.090 0.000 0.000
0.000 6.090 0.000
0.000 0.000 6.090

***

! NaSc GGA-PBE optimized geometry; values from VASP
! formation energy = 0.420 eV/atom
! Fermi-level density of states = 2.44 states/eV/f.u.
! symmetry = I4_1/amd
&SYSTEM
  ibrav = 0, nat = 16, ntyp = 2
/
ATOMIC_SPECIES
Na 22.99 Na.upf
Sc 44.96 Sc.upf
ATOMIC_POSITIONS crystal
Na 0.750 0.500 0.875
Na 0.500 0.750 0.125
Na 0.250 0.500 0.875
Na 0.250 0.000 0.375
Na 0.000 0.250 0.625
Na 0.750 0.000 0.375
Na 0.500 0.250 0.125
Na 0.000 0.750 0.625
Sc 0.250 0.000 0.875
Sc 0.500 0.750 0.625
Sc 0.000 0.750 0.125
Sc 0.750 0.000 0.875
Sc 0.500 0.250 0.625
Sc 0.750 0.500 0.375
Sc 0.000 0.250 0.125
Sc 0.250 0.500 0.375
CELL_PARAMETERS angstrom
-4.700 -0.118 -5.707
-4.893 -3.724 4.107
-3.239 7.036 2.522

***

! NaSc GGA-PBE optimized geometry; values from VASP
! formation energy = 0.538 eV/atom
! Fermi-level density of states = 2.72 states/eV/f.u.
! symmetry = I4/m
&SYSTEM
  ibrav = 0, nat = 16, ntyp = 2
/
ATOMIC_SPECIES
Sc 44.96 Sc.upf
Na 22.99 Na.upf
ATOMIC_POSITIONS crystal
Sc 0.408 0.354 0.000
Sc 0.908 0.854 0.500
Sc 0.646 0.408 0.000
Sc 0.146 0.908 0.500
Sc 0.854 0.092 0.500
Sc 0.092 0.146 0.500
Sc 0.592 0.646 0.000
Sc 0.354 0.592 0.000
Na 0.655 0.899 0.500
Na 0.345 0.101 0.500
Na 0.399 0.845 0.000
Na 0.601 0.155 0.000
Na 0.899 0.345 0.500
Na 0.101 0.655 0.500
Na 0.155 0.399 0.000
Na 0.845 0.601 0.000
CELL_PARAMETERS angstrom
12.559 0.000 0.000
0.000 12.559 0.000
0.000 0.000 2.982

***

Number 1: electronic total energy -3.43 eV per atom. Number 2: electronic total energy -2.16 eV per atom. Number 3: electronic total energy -3.52 eV per atom. Number 4: electronic total energy -2.92 eV per atom. Number 5: electronic total energy -3.41 eV per atom. Number 6: electronic total energy -3.29 eV per atom.